Entry 1:
Entry from the Alexandria database: an optimized crystal structure of Ca2NbHgAu (PBE).

a b c (Å): 5.7268 5.7268 5.0077
angles (deg): 90.00 90.00 90.00
Closest atoms and distances in Å follow each position.
Sites, in units of the cell vectors:
Ca1 0.0000 0.5000 0.0000  2 Nb 2.86
Ca2 0.5000 0.0000 0.0000  2 Nb 2.86
Nb1 0.0000 0.0000 0.0000  2 Au 2.50
Hg1 0.5000 0.5000 0.5000  8 Ca 3.80, 4 Au 4.05
Au1 0.0000 0.0000 0.5000  2 Nb 2.50

Calculated values
The symmetry is P4/mmm, No. 123. The value obtained for the formation enthalpy at 0 K is 613 meV per atom.

=====

Entry 2:
Entry from the Alexandria database: an optimized crystal structure of NaEu3Zn (PBE).

a b c (Å): 6.0017 6.0017 6.0017
angles (deg): 90.00 90.00 90.00
Closest atoms and distances in Å follow each position.
Sites, in units of the cell vectors:
Na1 0.0000 0.0000 0.0000  12 Eu 4.24
Eu1 0.0000 0.5000 0.5000  2 Zn 3.00
Eu2 0.5000 0.0000 0.5000  2 Zn 3.00
Eu3 0.5000 0.5000 0.0000  2 Zn 3.00
Zn1 0.5000 0.5000 0.5000  6 Eu 3.00

Calculated values
The symmetry is Pm-3m, No. 221. The value obtained for the formation enthalpy at 0 K is 50 meV per atom.

=====

Entry 3:
Entry from the Alexandria database: an optimized crystal structure of Li3P (PBE).

a b c (Å): 5.5298 5.5298 4.2921
angles (deg): 90.00 90.00 120.00
Closest atoms and distances in Å follow each position.
Sites, in units of the cell vectors:
Li1 0.1844 0.3688 0.2500  2 Li 2.47, 2 P 2.58
Li2 0.1844 0.8156 0.2500  2 Li 2.47, 2 P 2.58
Li3 0.3688 0.1844 0.7500  2 Li 2.47, 2 P 2.58
Li4 0.6312 0.8156 0.2500  2 Li 2.47, 2 P 2.58
Li5 0.8156 0.1844 0.7500  2 Li 2.47, 2 P 2.58
Li6 0.8156 0.6312 0.7500  2 Li 2.47, 2 P 2.58
P1 0.3333 0.6667 0.7500  12 Li 2.58-2.77
P2 0.6667 0.3333 0.2500  12 Li 2.58-2.77

Calculated values
The symmetry is P6_3/mmc, No. 194. The value obtained for the formation enthalpy at 0 K is -541 meV per atom.

=====

Entry 4:
Entry from the Alexandria database: an optimized crystal structure of LaLuCuPb (PBE).

a b c (Å): 7.4988 7.4988 7.4988
angles (deg): 90.00 90.00 90.00
Closest atoms and distances in Å follow each position.
Sites, in units of the cell vectors:
La1 0.0000 0.0000 0.0000  4 Cu 3.25, 4 Pb 3.25
La2 0.0000 0.5000 0.5000  4 Cu 3.25, 4 Pb 3.25
La3 0.5000 0.0000 0.5000  4 Cu 3.25, 4 Pb 3.25
La4 0.5000 0.5000 0.0000  4 Cu 3.25, 4 Pb 3.25
Lu1 0.0000 0.0000 0.5000  4 Pb 3.25, 4 Cu 3.25
Lu2 0.0000 0.5000 0.0000  4 Pb 3.25, 4 Cu 3.25
Lu3 0.5000 0.0000 0.0000  4 Pb 3.25, 4 Cu 3.25
Lu4 0.5000 0.5000 0.5000  4 Pb 3.25, 4 Cu 3.25
Cu1 0.2500 0.2500 0.7500  4 La 3.25, 4 Lu 3.25
Cu2 0.2500 0.7500 0.2500  4 La 3.25, 4 Lu 3.25
Cu3 0.7500 0.2500 0.2500  4 La 3.25, 4 Lu 3.25
Cu4 0.7500 0.7500 0.7500  4 La 3.25, 4 Lu 3.25
Pb1 0.2500 0.2500 0.2500  4 La 3.25, 4 Lu 3.25
Pb2 0.2500 0.7500 0.7500  4 La 3.25, 4 Lu 3.25
Pb3 0.7500 0.2500 0.7500  4 La 3.25, 4 Lu 3.25
Pb4 0.7500 0.7500 0.2500  4 La 3.25, 4 Lu 3.25

Calculated values
The symmetry is F-43m, No. 216. The value obtained for the formation enthalpy at 0 K is -277 meV per atom.

=====

Entry 5:
Entry from the Alexandria database: an optimized crystal structure of BaTlI2 (PBE).

a b c (Å): 6.1962 6.1962 21.5445
angles (deg): 90.00 90.00 90.00
Closest atoms and distances in Å follow each position.
Sites, in units of the cell vectors:
Ba1 0.0000 0.0000 0.0000  4 I 3.44
Ba2 0.0000 0.5000 0.2500  4 I 3.44
Ba3 0.5000 0.0000 0.7500  4 I 3.44
Ba4 0.5000 0.5000 0.5000  4 I 3.44
Tl1 0.0000 0.0000 0.5000  4 I 3.50
Tl2 0.0000 0.5000 0.7500  4 I 3.50
Tl3 0.5000 0.0000 0.2500  4 I 3.50
Tl4 0.5000 0.5000 0.0000  4 I 3.50
I1 0.2395 0.2500 0.1250  2 Ba 3.44, 2 Tl 3.50
I2 0.2500 0.7395 0.3750  2 Ba 3.44, 2 Tl 3.50
I3 0.2500 0.7605 0.8750  2 Ba 3.44, 2 Tl 3.50
I4 0.2605 0.2500 0.6250  2 Ba 3.44, 2 Tl 3.50
I5 0.7395 0.7500 0.6250  2 Ba 3.44, 2 Tl 3.50
I6 0.7500 0.2395 0.8750  2 Ba 3.44, 2 Tl 3.50
I7 0.7500 0.2605 0.3750  2 Ba 3.44, 2 Tl 3.50
I8 0.7605 0.7500 0.1250  2 Ba 3.44, 2 Tl 3.50

Calculated values
The value obtained for the calculated total energy is -2.75 eV per atom. The symmetry is I-42d, No. 122.

=====

Entry 6:
Entry from the Alexandria database: an optimized crystal structure of La7YAl8O24 (PBE).

a b c (Å): 7.5984 7.5984 7.5984
angles (deg): 90.00 90.00 90.00
Closest atoms and distances in Å follow each position.
Sites, in units of the cell vectors:
La1 0.0000 0.0000 0.0000  12 O 2.69
La2 0.0000 0.0000 0.5000  12 O 2.69-2.72
La3 0.0000 0.5000 0.0000  12 O 2.69-2.72
La4 0.0000 0.5000 0.5000  12 O 2.68-2.69
La5 0.5000 0.0000 0.0000  12 O 2.69-2.72
La6 0.5000 0.0000 0.5000  12 O 2.68-2.69
La7 0.5000 0.5000 0.0000  12 O 2.68-2.69
Y1 0.5000 0.5000 0.5000  12 O 2.66
Al1 0.2513 0.2513 0.2513  6 O 1.89-1.91
Al2 0.2513 0.2513 0.7487  6 O 1.89-1.91
Al3 0.2513 0.7487 0.2513  6 O 1.89-1.91
Al4 0.2513 0.7487 0.7487  6 O 1.89-1.91
Al5 0.7487 0.2513 0.2513  6 O 1.89-1.91
Al6 0.7487 0.2513 0.7487  6 O 1.89-1.91
Al7 0.7487 0.7487 0.2513  6 O 1.89-1.91
Al8 0.7487 0.7487 0.7487  6 O 1.89-1.91
O1 0.0000 0.2506 0.2506  2 Al 1.91
O2 0.0000 0.2506 0.7494  2 Al 1.91
O3 0.0000 0.7494 0.2506  2 Al 1.91
O4 0.0000 0.7494 0.7494  2 Al 1.91
O5 0.2506 0.0000 0.2506  2 Al 1.91
O6 0.2506 0.0000 0.7494  2 Al 1.91
O7 0.2506 0.2506 0.0000  2 Al 1.91
O8 0.2506 0.7494 0.0000  2 Al 1.91
O9 0.2527 0.2527 0.5000  2 Al 1.89
O10 0.2527 0.5000 0.2527  2 Al 1.89
O11 0.2527 0.5000 0.7473  2 Al 1.89
O12 0.2527 0.7473 0.5000  2 Al 1.89
O13 0.5000 0.2527 0.2527  2 Al 1.89
O14 0.5000 0.2527 0.7473  2 Al 1.89
O15 0.5000 0.7473 0.2527  2 Al 1.89
O16 0.5000 0.7473 0.7473  2 Al 1.89
O17 0.7473 0.2527 0.5000  2 Al 1.89
O18 0.7473 0.5000 0.2527  2 Al 1.89
O19 0.7473 0.5000 0.7473  2 Al 1.89
O20 0.7473 0.7473 0.5000  2 Al 1.89
O21 0.7494 0.0000 0.2506  2 Al 1.91
O22 0.7494 0.0000 0.7494  2 Al 1.91
O23 0.7494 0.2506 0.0000  2 Al 1.91
O24 0.7494 0.7494 0.0000  2 Al 1.91

Calculated values
The value obtained for the calculated total energy is -8.03 eV per atom. The symmetry is Pm-3m, No. 221.

=====

Entry 7:
Entry from the Alexandria database: an optimized crystal structure of Pr5SmGa2 (PBE).

a b c (Å): 4.3908 10.0463 11.2452
angles (deg): 90.00 90.00 90.00
Closest atoms and distances in Å follow each position.
Sites, in units of the cell vectors:
Pr1 0.0000 0.0000 0.0000  2 Ga 3.22, 8 Pr 3.43
Pr2 0.0000 0.2988 0.3494  3 Ga 3.08-3.35, 5 Pr 3.28-3.43
Pr3 0.0000 0.2988 0.6506  3 Ga 3.08-3.35, 5 Pr 3.28-3.43
Pr4 0.0000 0.7012 0.3494  3 Ga 3.08-3.35, 5 Pr 3.28-3.43
Pr5 0.0000 0.7012 0.6506  3 Ga 3.08-3.35, 5 Pr 3.28-3.43
Pr6 0.5000 0.2013 0.1506  3 Ga 3.08-3.35, 5 Pr 3.28-3.43
Pr7 0.5000 0.2013 0.8494  3 Ga 3.08-3.35, 5 Pr 3.28-3.43
Pr8 0.5000 0.5000 0.5000  2 Ga 3.22, 8 Pr 3.43
Pr9 0.5000 0.7988 0.1506  3 Ga 3.08-3.35, 5 Pr 3.28-3.43
Pr10 0.5000 0.7988 0.8494  3 Ga 3.08-3.35, 5 Pr 3.28-3.43
Sm1 0.0000 0.5000 0.0000  4 Ga 3.25
Sm2 0.5000 0.0000 0.5000  4 Ga 3.25
Ga1 0.0000 0.0000 0.2864  7 Pr 3.08-3.35, 2 Sm 3.25
Ga2 0.0000 0.0000 0.7136  7 Pr 3.08-3.35, 2 Sm 3.25
Ga3 0.5000 0.5000 0.2136  7 Pr 3.08-3.35, 2 Sm 3.25
Ga4 0.5000 0.5000 0.7864  7 Pr 3.08-3.35, 2 Sm 3.25

Calculated values
The symmetry is Immm, No. 71. The value obtained for the formation enthalpy at 0 K is -157 meV per atom.

=====

Entry 8:
Entry from the Alexandria database: an optimized crystal structure of Cs2GeSb (PBE).

a b c (Å): 4.3005 6.0191 13.8240
angles (deg): 90.00 90.00 90.00
Closest atoms and distances in Å follow each position.
Sites, in units of the cell vectors:
Cs1 0.0000 0.0000 0.0000  4 Ge 3.85, 3 Sb 4.07-4.18, 2 Cs 4.30
Cs2 0.0000 0.5000 0.5000  4 Ge 3.85, 3 Sb 4.07-4.18, 2 Cs 4.30
Cs3 0.5000 0.0000 0.2888  4 Sb 3.91, 3 Ge 3.98-4.20, 2 Cs 4.30
Cs4 0.5000 0.5000 0.7888  4 Sb 3.91, 3 Ge 3.98-4.20, 2 Cs 4.30
Ge1 0.5000 0.0000 0.5768  2 Sb 2.73
Ge2 0.5000 0.5000 0.0768  2 Sb 2.73
Sb1 0.0000 0.0000 0.6979  2 Ge 2.73
Sb2 0.0000 0.5000 0.1979  2 Ge 2.73

Calculated values
The value obtained for the calculated total energy is -2.91 eV per atom. The symmetry is Amm2, No. 38.

=====

Total magnetic moment in Bohr magnetons per cell, matching the order above: 0.00 22.00 0.00 0.07 0.00 0.00 0.00 0.00